# 1
The following is a DFT calculation (PBE) of a relaxed Nd2ErInC crystal.

Output
For the formation enthalpy at 0 K, the calculation gives -0.3776 eV/atom. The value obtained for the density of states at the Fermi level is 2.2 states/eV per cell.

Cell: 5.143 5.143 4.878 Å, 90.00 90.00 90.00°
Positions (direct):
Nd  0.000  0.500  0.000
Nd  0.500  0.000  0.000
Er  0.000  0.000  0.500
In  0.500  0.500  0.500
C  0.000  0.000  0.000

=====

# 2
The following is a DFT calculation (PBE) of a relaxed Er6In2CO crystal.

Output
The value obtained for the density of states at the Fermi level is 3.8 states/eV per cell. Its energy relative to the elements, uncorrected is -1.022 eV per atom.

Cell: 6.780 6.780 6.780 Å, 60.00 60.00 60.00°
Positions (direct):
Er  0.248  0.248  0.752
Er  0.248  0.752  0.248
Er  0.248  0.752  0.752
Er  0.752  0.248  0.248
Er  0.752  0.248  0.752
Er  0.752  0.752  0.248
In  0.250  0.250  0.250
In  0.750  0.750  0.750
C  0.000  0.000  0.000
O  0.500  0.500  0.500

=====

# 3
The following is a DFT calculation (PBE) of a relaxed Er2InOsC crystal.

Output
For the formation enthalpy at 0 K, the calculation gives -0.4136 eV/atom. The value obtained for the density of states at the Fermi level is 2.3 states/eV per cell.

Cell: 4.961 4.961 3.946 Å, 90.00 90.00 90.00°
Positions (direct):
Er  0.000  0.500  0.000
Er  0.500  0.000  0.000
In  0.000  0.000  0.500
Os  0.500  0.500  0.500
C  0.500  0.500  0.000

=====

# 4
The following is a DFT calculation (PBE) of a relaxed Er4InPbC crystal.

Output
For the formation enthalpy at 0 K, the calculation gives -0.4633 eV/atom. The value obtained for the density of states at the Fermi level is 9.6 states/eV per cell.

Cell: 8.567 8.567 6.786 Å, 90.00 90.00 133.29°
Positions (direct):
Er  0.000  0.500  0.000
Er  0.000  0.500  0.500
Er  0.090  0.910  0.750
Er  0.408  0.592  0.750
Er  0.500  0.000  0.000
Er  0.500  0.000  0.500
Er  0.592  0.408  0.250
Er  0.910  0.090  0.250
In  0.112  0.888  0.250
In  0.888  0.112  0.750
Pb  0.391  0.609  0.250
Pb  0.609  0.391  0.750
C  0.249  0.751  0.750
C  0.751  0.249  0.250

=====

# 5
The following is a DFT calculation (PBE) of a relaxed ErSc2InC crystal.

Output
For the formation enthalpy at 0 K, the calculation gives -0.6121 eV/atom. The value obtained for the density of states at the Fermi level is 1.0 states/eV per cell.

Cell: 4.590 4.590 4.824 Å, 90.00 90.00 90.00°
Positions (direct):
Er  0.000  0.000  0.000
Sc  0.000  0.500  0.500
Sc  0.500  0.000  0.500
In  0.500  0.500  0.000
C  0.000  0.000  0.500

=====

# 6
The following is a DFT calculation (PBE) of a relaxed Er2ScInC crystal.

Output
For the formation enthalpy at 0 K, the calculation gives -0.5738 eV/atom. The value obtained for the density of states at the Fermi level is 0.9 states/eV per cell.

Cell: 4.863 4.863 4.584 Å, 90.00 90.00 90.00°
Positions (direct):
Er  0.000  0.500  0.000
Er  0.500  0.000  0.000
Sc  0.000  0.000  0.500
In  0.500  0.500  0.500
C  0.000  0.000  0.000

=====

# 7
The following is a DFT calculation (PBE) of a relaxed SmEr2InC crystal.

Output
For the formation enthalpy at 0 K, the calculation gives -0.4787 eV/atom. The value obtained for the density of states at the Fermi level is 1.4 states/eV per cell.

Cell: 4.878 4.878 5.054 Å, 90.00 90.00 90.00°
Positions (direct):
Sm  0.000  0.000  0.000
Er  0.000  0.500  0.500
Er  0.500  0.000  0.500
In  0.500  0.500  0.000
C  0.000  0.000  0.500

=====

# 8
The following is a DFT calculation (PBE) of a relaxed Er4InSnC crystal.

Output
For the formation enthalpy at 0 K, the calculation gives -0.5222 eV/atom. The value obtained for the density of states at the Fermi level is 9.4 states/eV per cell.

Cell: 8.525 8.525 6.764 Å, 90.00 90.00 133.20°
Positions (direct):
Er  0.000  0.500  0.000
Er  0.000  0.500  0.500
Er  0.090  0.910  0.750
Er  0.410  0.590  0.750
Er  0.500  0.000  0.000
Er  0.500  0.000  0.500
Er  0.590  0.410  0.250
Er  0.910  0.090  0.250
In  0.112  0.888  0.250
In  0.888  0.112  0.750
Sn  0.388  0.612  0.250
Sn  0.612  0.388  0.750
C  0.249  0.751  0.750
C  0.751  0.249  0.250

=====

# 9
The following is a DFT calculation (PBE) of a relaxed Er2InTcC crystal.

Output
For the formation enthalpy at 0 K, the calculation gives -0.4074 eV/atom. The value obtained for the density of states at the Fermi level is 2.0 states/eV per cell.

Cell: 4.922 4.922 4.032 Å, 90.00 90.00 90.00°
Positions (direct):
Er  0.000  0.500  0.000
Er  0.500  0.000  0.000
In  0.000  0.000  0.500
Tc  0.500  0.500  0.500
C  0.500  0.500  0.000

=====

# 10
The following is a DFT calculation (PBE) of a relaxed Er2ThInC crystal.

Output
For the formation enthalpy at 0 K, the calculation gives -0.4397 eV/atom. The value obtained for the density of states at the Fermi level is 2.4 states/eV per cell.

Cell: 4.907 4.907 5.053 Å, 90.00 90.00 90.00°
Positions (direct):
Er  0.000  0.500  0.000
Er  0.500  0.000  0.000
Th  0.000  0.000  0.500
In  0.500  0.500  0.500
C  0.000  0.000  0.000

=====

# 11
The following is a DFT calculation (PBE) of a relaxed ErTh2InC crystal.

Output
For the formation enthalpy at 0 K, the calculation gives -0.3619 eV/atom. The value obtained for the density of states at the Fermi level is 2.7 states/eV per cell.

Cell: 5.079 5.079 4.928 Å, 90.00 90.00 90.00°
Positions (direct):
Er  0.000  0.000  0.000
Th  0.000  0.500  0.500
Th  0.500  0.000  0.500
In  0.500  0.500  0.000
C  0.000  0.000  0.500

=====

# 12
The following is a DFT calculation (PBE) of a relaxed ErTm2InC crystal.

Output
For the formation enthalpy at 0 K, the calculation gives -0.5502 eV/atom. The value obtained for the density of states at the Fermi level is 0.6 states/eV per cell.

Cell: 4.837 4.837 4.865 Å, 90.00 90.00 90.00°
Positions (direct):
Er  0.000  0.000  0.000
Tm  0.000  0.500  0.500
Tm  0.500  0.000  0.500
In  0.500  0.500  0.000
C  0.000  0.000  0.500

=====

For the records above, the corresponding final energy values read -27.95; -57.26; -34.39; -74.33; -32.25; -30.29; -28.20; -75.74; -33.49; -30.71; -33.17; -28.22 eV per cell.